Entry 1:
Compound: Cu2GeBr
Source: the Alexandria database
Functional: PBE
Structure: relaxed

abc: 6.161 6.161 9.081
angles: 90.00 90.00 90.00
Space group I-42d (No. 122)
Unique sites:
1 Cu 0.232 0.250 0.125 x8
2 Ge 0.000 0.000 0.000 x4
3 Br 0.000 0.000 0.500 x4

Results
For the energy relative to the lowest polymorph listed for this composition, the calculation gives 0.00 eV/f.u. The calculation puts the formation energy without anion corrections at 4.403 kcal/mol of atoms.

***

Entry 2:
Compound: CuGe3Br
Source: the Alexandria database
Functional: PBE
Structure: relaxed

abc: 5.147 5.147 5.147
angles: 90.00 90.00 90.00
Space group Pm-3m (No. 221)
Unique sites:
1 Cu 0.000 0.000 0.000 x1
2 Ge 0.000 0.500 0.500 x3
3 Br 0.500 0.500 0.500 x1

Results
For the energy relative to the lowest polymorph listed for this composition, the calculation gives 3.97 eV/f.u. The calculation puts the formation energy without anion corrections at 28.044 kcal/mol of atoms.

***

Entry 3:
Compound: CuGeBr3
Source: the Alexandria database
Functional: PBE
Structure: relaxed

abc: 7.227 7.874 13.534
angles: 90.00 120.20 90.00
Space group P2_1/c (No. 14)
Unique sites:
1 Cu 0.082 0.146 0.038 x4
2 Ge 0.217 0.088 0.445 x4
3 Br 0.046 0.580 0.656 x4
4 Br 0.251 0.109 0.644 x4
5 Br 0.423 0.729 0.996 x4

Results
For the energy relative to the lowest polymorph listed for this composition, the calculation gives 0.00 eV/f.u. The calculation puts the formation energy without anion corrections at -9.523 kcal/mol of atoms.

***

Entry 4:
Compound: CuGeBr3
Source: the Alexandria database
Functional: PBE
Structure: relaxed

abc: 5.025 5.025 5.025
angles: 90.00 90.00 90.00
Space group Pm-3m (No. 221)
Unique sites:
1 Cu 0.000 0.000 0.000 x1
2 Ge 0.500 0.500 0.500 x1
3 Br 0.000 0.000 0.500 x3

Results
For the energy relative to the lowest polymorph listed for this composition, the calculation gives 2.29 eV/f.u. The calculation puts the formation energy without anion corrections at 1.038 kcal/mol of atoms.